#i
This record from Alexandria via LeMat-Bulk describes a relaxed structure of Ni3SnN. The functional is PBE.

abc: 5.4869 5.4869 4.5735
angles: 90.00 90.00 120.00
Closest atoms and distances in Å follow each position.
Sites, in units of the cell vectors:
Ni  0.1708  0.3416  0.2500  2 N 1.99
Ni  0.1708  0.8292  0.2500  2 N 1.99
Ni  0.3416  0.1708  0.7500  2 N 1.99
Ni  0.6584  0.8292  0.2500  2 N 1.99
Ni  0.8292  0.1708  0.7500  2 N 1.99
Ni  0.8292  0.6584  0.7500  2 N 1.99
Sn  0.3333  0.6667  0.7500  12 Ni 2.74-2.76
Sn  0.6667  0.3333  0.2500  12 Ni 2.74-2.76
N  0.0000  0.0000  0.0000  6 Ni 1.99
N  0.0000  0.0000  0.5000  6 Ni 1.99

- Density of states at the Fermi level: 0.5143 states/eV/atom
- Space group: P6_3/mmc (194)


#ii
This record from Alexandria via LeMat-Bulk describes a relaxed structure of Ni3SnN. The functional is PBE.

abc: 4.7043 4.7043 4.7043
angles: 90.00 90.00 90.00
Closest atoms and distances in Å follow each position.
Sites, in units of the cell vectors:
Ni  0.0000  0.0000  0.5000  2 Sn 2.35
Ni  0.0000  0.5000  0.0000  2 Sn 2.35
Ni  0.5000  0.0000  0.0000  2 Sn 2.35
Sn  0.0000  0.0000  0.0000  6 Ni 2.35
N  0.5000  0.5000  0.5000  12 Ni 3.33

- Density of states at the Fermi level: 1.6798 states/eV/atom
- Space group: Pm-3m (221)


Verdict on stability: #ii comes out at the bottom.


#i
This record from Alexandria via LeMat-Bulk describes a relaxed structure of Ni3SnN. The functional is PBE.

abc: 3.9001 3.9001 3.9001
angles: 90.00 90.00 90.00
Closest atoms and distances in Å follow each position.
Sites, in units of the cell vectors:
Ni  0.0000  0.0000  0.5000  2 N 1.95
Ni  0.0000  0.5000  0.0000  2 N 1.95
Ni  0.5000  0.0000  0.0000  2 N 1.95
Sn  0.5000  0.5000  0.5000  12 Ni 2.76
N  0.0000  0.0000  0.0000  6 Ni 1.95

- Density of states at the Fermi level: 1.4375 states/eV/atom
- Space group: Pm-3m (221)


#ii
This record from Alexandria via LeMat-Bulk describes a relaxed structure of Ni3SnN. The functional is PBE.

abc: 7.1810 7.1810 7.1810
angles: 60.00 60.00 60.00
Closest atoms and distances in Å follow each position.
Sites, in units of the cell vectors:
Ni  0.0602  0.0602  0.6898  2 N 1.90
Ni  0.0602  0.6898  0.0602  2 N 1.90
Ni  0.0602  0.6898  0.6898  2 N 1.90
Ni  0.3103  0.3103  0.9398  2 N 1.90
Ni  0.3103  0.9398  0.3103  2 N 1.90
Ni  0.3103  0.9398  0.9398  2 N 1.90
Ni  0.6898  0.0602  0.0602  2 N 1.90
Ni  0.6898  0.0602  0.6898  2 N 1.90
Ni  0.6898  0.6898  0.0602  2 N 1.90
Ni  0.9398  0.3103  0.3103  2 N 1.90
Ni  0.9398  0.3103  0.9398  2 N 1.90
Ni  0.9398  0.9398  0.3103  2 N 1.90
Sn  0.0000  0.5000  0.5000  6 Ni 2.63
Sn  0.5000  0.0000  0.5000  6 Ni 2.63
Sn  0.5000  0.5000  0.0000  6 Ni 2.63
Sn  0.5000  0.5000  0.5000  6 Ni 2.63
N  0.0000  0.0000  0.0000  6 Ni 1.90
N  0.0000  0.0000  0.5000  6 Ni 1.90
N  0.0000  0.5000  0.0000  6 Ni 1.90
N  0.5000  0.0000  0.0000  6 Ni 1.90

- Density of states at the Fermi level: 0.4632 states/eV/atom
- Space group: Fd-3m (227)


Verdict on stability: #i comes out at the bottom.


#i
This record from Alexandria via LeMat-Bulk describes a relaxed structure of NiSnTe2N. The functional is PBE.

abc: 5.5622 5.5622 3.4851
angles: 90.00 90.00 90.00
Closest atoms and distances in Å follow each position.
Sites, in units of the cell vectors:
Ni  0.0000  0.0000  0.0000  2 N 1.74
Sn  0.5000  0.5000  0.5000  8 Te 3.28, 2 Sn 3.49
Te  0.0000  0.5000  0.0000  2 Ni 2.78
Te  0.5000  0.0000  0.0000  2 Ni 2.78
N  0.0000  0.0000  0.5000  2 Ni 1.74

- Density of states at the Fermi level: 0.6217 states/eV/atom
- Space group: P4/mmm (123)


#ii
This record from Alexandria via LeMat-Bulk describes a relaxed structure of NiSnTe2N. The functional is PBE.

abc: 5.8061 5.8061 3.8641
angles: 90.00 90.00 90.00
Closest atoms and distances in Å follow each position.
Sites, in units of the cell vectors:
Ni  0.0000  0.0000  0.0000  8 Te 3.49, 2 Ni 3.86
Sn  0.5000  0.5000  0.5000  2 N 1.93
Te  0.0000  0.5000  0.5000  2 Sn 2.90
Te  0.5000  0.0000  0.5000  2 Sn 2.90
N  0.5000  0.5000  0.0000  2 Sn 1.93

- Density of states at the Fermi level: 1.3970 states/eV/atom
- Space group: P4/mmm (123)


Verdict on stability: #ii comes out at the bottom.


#i
This record from Alexandria via LeMat-Bulk describes a relaxed structure of Sr2Ni2N. The functional is PBE.

abc: 7.1399 7.1399 4.5687
angles: 90.00 90.00 90.00
Closest atoms and distances in Å follow each position.
Sites, in units of the cell vectors:
Sr  0.1881  0.3119  0.0000  2 N 2.60
Sr  0.3119  0.8119  0.0000  2 N 2.60
Sr  0.6881  0.1881  0.0000  2 N 2.60
Sr  0.8119  0.6881  0.0000  2 N 2.60
Ni  0.1094  0.6094  0.5000  1 Ni 2.21
Ni  0.3906  0.1094  0.5000  1 Ni 2.21
Ni  0.6094  0.8906  0.5000  1 Ni 2.21
Ni  0.8906  0.3906  0.5000  1 Ni 2.21
N  0.0000  0.0000  0.0000  4 Sr 2.60
N  0.5000  0.5000  0.0000  4 Sr 2.60

- Density of states at the Fermi level: 0.8678 states/eV/atom
- Space group: P4/mbm (127)


#ii
This record from Alexandria via LeMat-Bulk describes a relaxed structure of Sr2Ni2N. The functional is PBE.

abc: 8.7210 8.7210 8.7210
angles: 158.18 158.18 31.05
Closest atoms and distances in Å follow each position.
Sites, in units of the cell vectors:
Sr  0.0862  0.0862  0.0000  4 N 2.75, 1 Sr 2.90
Sr  0.9138  0.9138  0.0000  4 N 2.75, 1 Sr 2.90
Ni  0.2500  0.7500  0.5000  4 Ni 2.33
Ni  0.7500  0.2500  0.5000  4 Ni 2.33
N  0.5000  0.5000  0.0000  8 Sr 2.75

- Density of states at the Fermi level: 1.0344 states/eV/atom
- Space group: I4/mmm (139)


Verdict on stability: #i comes out at the bottom.


#i
This record from Alexandria via LeMat-Bulk describes a relaxed structure of TaNi3N. The functional is PBE.

abc: 4.5525 4.5525 4.5525
angles: 90.00 90.00 90.00
Closest atoms and distances in Å follow each position.
Sites, in units of the cell vectors:
Ta  0.0000  0.0000  0.0000  6 Ni 2.28
Ni  0.0000  0.0000  0.5000  2 Ta 2.28
Ni  0.0000  0.5000  0.0000  2 Ta 2.28
Ni  0.5000  0.0000  0.0000  2 Ta 2.28
N  0.5000  0.5000  0.5000  12 Ni 3.22

- Density of states at the Fermi level: 0.7991 states/eV/atom
- Space group: Pm-3m (221)


#ii
This record from Alexandria via LeMat-Bulk describes a relaxed structure of TaNi3N. The functional is PBE.

abc: 3.8454 3.8454 3.8454
angles: 90.00 90.00 90.00
Closest atoms and distances in Å follow each position.
Sites, in units of the cell vectors:
Ta  0.0000  0.0000  0.0000  12 Ni 2.72
Ni  0.0000  0.5000  0.5000  2 N 1.92
Ni  0.5000  0.0000  0.5000  2 N 1.92
Ni  0.5000  0.5000  0.0000  2 N 1.92
N  0.5000  0.5000  0.5000  6 Ni 1.92

- Density of states at the Fermi level: 2.0679 states/eV/atom
- Space group: Pm-3m (221)


Verdict on stability: #i comes out at the bottom.


#i
This record from Alexandria via LeMat-Bulk describes a relaxed structure of TaNiTe2N. The functional is PBE.

abc: 5.5071 5.5071 3.8558
angles: 90.00 90.00 90.00
Closest atoms and distances in Å follow each position.
Sites, in units of the cell vectors:
Ta  0.0000  0.0000  0.0000  2 N 1.93
Ni  0.5000  0.5000  0.5000  8 Te 3.36
Te  0.0000  0.5000  0.0000  2 Ta 2.75
Te  0.5000  0.0000  0.0000  2 Ta 2.75
N  0.0000  0.0000  0.5000  2 Ta 1.93

- Density of states at the Fermi level: 1.1082 states/eV/atom
- Space group: P4/mmm (123)


#ii
This record from Alexandria via LeMat-Bulk describes a relaxed structure of TaNiTe2N. The functional is PBE.

abc: 5.2313 5.2313 3.4278
angles: 90.00 90.00 90.00
Closest atoms and distances in Å follow each position.
Sites, in units of the cell vectors:
Ta  0.0000  0.0000  0.0000  8 Te 3.13, 2 Ta 3.43
Ni  0.5000  0.5000  0.5000  2 N 1.71
Te  0.0000  0.5000  0.5000  2 Ni 2.62
Te  0.5000  0.0000  0.5000  2 Ni 2.62
N  0.5000  0.5000  0.0000  2 Ni 1.71

- Density of states at the Fermi level: 0.8742 states/eV/atom
- Space group: P4/mmm (123)


Verdict on stability: #ii comes out at the bottom.


#i
This record from Alexandria via LeMat-Bulk describes a relaxed structure of TcNiN. The functional is PBE.

abc: 3.3205 3.3205 3.6271
angles: 90.00 90.00 120.00
Closest atoms and distances in Å follow each position.
Sites, in units of the cell vectors:
Tc  0.0000  0.0000  0.0000  3 N 1.94
Ni  0.3333  0.6667  0.5063  3 N 2.41, 6 Tc 2.62-2.65
N  0.6667  0.3333  0.9101  3 Tc 1.94

- Density of states at the Fermi level: 0.9547 states/eV/atom
- Space group: P3m1 (156)


#ii
This record from Alexandria via LeMat-Bulk describes a relaxed structure of TcNiN. The functional is PBE.

abc: 4.8855 4.8855 4.8855
angles: 148.23 148.23 45.55
Closest atoms and distances in Å follow each position.
Sites, in units of the cell vectors:
Tc  0.0000  0.0000  0.0000  4 N 2.11
Ni  0.2923  0.2923  0.0000  5 N 2.55-2.80, 5 Tc 2.63-2.66, 4 Ni 2.67
N  0.6031  0.6031  0.0000  4 Tc 2.11

- Density of states at the Fermi level: 0.9423 states/eV/atom
- Space group: I4mm (107)


Verdict on stability: #ii comes out at the bottom.